Record 1
## MnAu (PBE)

Data for a relaxed structure of MnAu.

Cell lengths 5.1507, 5.1507, 5.1507 Å; angles 90.00, 90.00, 90.00 degrees
With the nearest neighbours (Å) after each atom.
Fractional positions:
Au  0.9097  0.0903  0.5903  7 Mn 2.73-2.83
Mn  0.4078  0.9078  0.5922  7 Au 2.73-2.83
Au  0.5903  0.9097  0.0903  7 Mn 2.73-2.83
Mn  0.9078  0.5922  0.4078  7 Au 2.73-2.83
Au  0.4097  0.4097  0.4097  7 Mn 2.73-2.83
Au  0.0903  0.5903  0.9097  7 Mn 2.73-2.83
Mn  0.0922  0.0922  0.0922  7 Au 2.73-2.83
Mn  0.5922  0.4078  0.9078  7 Au 2.73-2.83

Results
Uncorrected energy   -6.156 eV/atom
Calculated formation energy   13 kJ/mol of formula units
SG   P2_13, No. 198

Record 2
## MnAu (PBE)

Data for a relaxed structure of MnAu.

Cell lengths 10.4522, 7.6543, 7.3321 Å; angles 90.00, 90.00, 90.00 degrees
With the nearest neighbours (Å) after each atom.
Fractional positions:
Mn  0.0000  0.3070  0.0000  6 Au 2.68-2.75, 1 Mn 2.95
Au  0.5000  0.0000  0.6940  6 Mn 2.68-2.75, 1 Au 2.84
Au  0.5000  0.5000  0.1940  6 Mn 2.68-2.75, 1 Au 2.84
Au  0.0000  0.0000  0.1940  6 Mn 2.68-2.75, 1 Au 2.84
Au  0.0000  0.0000  0.8060  6 Mn 2.68-2.75, 1 Au 2.84
Mn  0.5000  0.1930  0.0000  6 Au 2.68-2.75, 1 Mn 2.95
Mn  0.7500  0.5570  0.2500  6 Au 2.68-2.75, 1 Mn 2.95
Mn  0.2500  0.9430  0.7500  6 Au 2.68-2.75, 1 Mn 2.95
Au  0.7500  0.7500  0.5560  6 Mn 2.68-2.75, 1 Au 2.84
Mn  0.5000  0.3070  0.5000  6 Au 2.68-2.75, 1 Mn 2.95
Mn  0.5000  0.8070  0.0000  6 Au 2.68-2.75, 1 Mn 2.95
Au  0.7500  0.2500  0.0560  6 Mn 2.68-2.75, 1 Au 2.84
Au  0.2500  0.7500  0.0560  6 Mn 2.68-2.75, 1 Au 2.84
Au  0.7500  0.2500  0.4440  6 Mn 2.68-2.75, 1 Au 2.84
Mn  0.2500  0.4430  0.2500  6 Au 2.68-2.75, 1 Mn 2.95
Mn  0.2500  0.5570  0.7500  6 Au 2.68-2.75, 1 Mn 2.95
Mn  0.7500  0.9430  0.2500  6 Au 2.68-2.75, 1 Mn 2.95
Mn  0.5000  0.6930  0.5000  6 Au 2.68-2.75, 1 Mn 2.95
Mn  0.7500  0.0570  0.7500  6 Au 2.68-2.75, 1 Mn 2.95
Mn  0.0000  0.6930  0.0000  6 Au 2.68-2.75, 1 Mn 2.95
Au  0.0000  0.5000  0.6940  6 Mn 2.68-2.75, 1 Au 2.84
Au  0.2500  0.2500  0.5560  6 Mn 2.68-2.75, 1 Au 2.84
Au  0.2500  0.7500  0.4440  6 Mn 2.68-2.75, 1 Au 2.84
Au  0.2500  0.2500  0.9440  6 Mn 2.68-2.75, 1 Au 2.84
Au  0.7500  0.7500  0.9440  6 Mn 2.68-2.75, 1 Au 2.84
Mn  0.2500  0.0570  0.2500  6 Au 2.68-2.75, 1 Mn 2.95
Mn  0.0000  0.1930  0.5000  6 Au 2.68-2.75, 1 Mn 2.95
Mn  0.7500  0.4430  0.7500  6 Au 2.68-2.75, 1 Mn 2.95
Au  0.5000  0.0000  0.3060  6 Mn 2.68-2.75, 1 Au 2.84
Mn  0.0000  0.8070  0.5000  6 Au 2.68-2.75, 1 Mn 2.95
Au  0.0000  0.5000  0.3060  6 Mn 2.68-2.75, 1 Au 2.84
Au  0.5000  0.5000  0.8060  6 Mn 2.68-2.75, 1 Au 2.84

Results
Uncorrected energy   -6.041 eV/atom
Calculated formation energy   35 kJ/mol of formula units
SG   Fddd, No. 70

Record 3
## MnAu (PBE)

Data for a relaxed structure of MnAu.

Cell lengths 3.0102, 3.0102, 4.3500 Å; angles 90.00, 90.00, 120.00 degrees
With the nearest neighbours (Å) after each atom.
Fractional positions:
Mn  0.6667  0.3333  0.5000  6 Au 2.78, 6 Mn 3.01
Au  0.3333  0.6667  0.0000  6 Mn 2.78, 6 Au 3.01

Results
Uncorrected energy   -6.040 eV/atom
Calculated formation energy   35 kJ/mol of formula units
SG   P-6m2, No. 187

Record 4
## Mn5Au (PBE)

Data for a relaxed structure of Mn5Au.

Cell lengths 2.6889, 2.6889, 10.8955 Å; angles 90.00, 90.00, 90.00 degrees
With the nearest neighbours (Å) after each atom.
Fractional positions:
Mn  0.0000  0.0000  0.3051  8 Mn 2.54-2.69
Mn  0.5000  0.5000  0.8492  12 Mn 2.51-2.69
Au  0.5000  0.5000  0.5000  4 Au 2.69, 8 Mn 2.85
Mn  0.0000  0.0000  0.0000  12 Mn 2.51-2.69
Mn  0.5000  0.5000  0.1508  12 Mn 2.51-2.69
Mn  0.0000  0.0000  0.6949  8 Mn 2.54-2.69

Results
Uncorrected energy   -8.082 eV/atom
Calculated formation energy   61 kJ/mol of formula units
SG   P4/mmm, No. 123

Record 5
## MnAu5 (PBE)

Data for a relaxed structure of MnAu5.

Cell lengths 5.0772, 5.8848, 8.7143 Å; angles 90.00, 90.00, 125.76 degrees
With the nearest neighbours (Å) after each atom.
Fractional positions:
Au  0.7498  0.9999  0.5873  10 Au 2.84-2.96, 2 Mn 2.89-2.90
Au  0.2502  0.0001  0.0873  10 Au 2.84-2.96, 2 Mn 2.89-2.90
Au  0.7498  0.9999  0.9127  10 Au 2.84-2.96, 2 Mn 2.89-2.90
Au  0.7501  0.5002  0.5826  3 Mn 2.90-2.93, 9 Au 2.92-2.94
Mn  0.2499  0.5000  0.7500  12 Au 2.89-2.94
Au  0.7501  0.5002  0.9174  3 Mn 2.90-2.93, 9 Au 2.92-2.94
Au  0.2499  0.4998  0.4174  3 Mn 2.90-2.93, 9 Au 2.92-2.94
Mn  0.7501  0.5000  0.2500  12 Au 2.89-2.94
Au  0.2499  0.4998  0.0826  3 Mn 2.90-2.93, 9 Au 2.92-2.94
Au  0.2502  0.0001  0.4127  10 Au 2.84-2.96, 2 Mn 2.89-2.90
Au  0.2500  0.0003  0.7500  10 Au 2.91-2.94, 2 Mn 2.94
Au  0.7500  0.9997  0.2500  10 Au 2.91-2.94, 2 Mn 2.94

Results
Uncorrected energy   -4.290 eV/atom
Calculated formation energy   -18 kJ/mol of formula units
SG   C2/m, No. 12

Record 6
## MnMoAu (PBE)

Data for a relaxed structure of MnMoAu.

Cell lengths 6.4784, 6.4780, 2.7600 Å; angles 77.71, 77.69, 24.60 degrees
With the nearest neighbours (Å) after each atom.
Fractional positions:
Mo  0.6747  0.6747  0.3253  4 Mn 2.73, 4 Mo 2.76, 4 Au 2.94
Au  0.9964  0.9964  0.0036  4 Au 2.76, 4 Mn 2.84-2.85, 4 Mo 2.94
Mn  0.3288  0.3288  0.6712  4 Mo 2.73, 4 Mn 2.76, 4 Au 2.84-2.85

Results
Uncorrected energy   -7.563 eV/atom
Calculated formation energy   57 kJ/mol of formula units
Distance to the lowest polymorph of the same formula   0.000 eV per atom
SG   I4mm, No. 107

Record 7
## Mn4MoAu (PBE)

Data for a relaxed structure of Mn4MoAu.

Cell lengths 4.7682, 4.7682, 4.7682 Å; angles 60.00, 60.00, 60.00 degrees
With the nearest neighbours (Å) after each atom.
Fractional positions:
Mn  0.3740  0.8781  0.3740  6 Mn 2.36-2.40
Au  0.0000  0.0000  0.0000  12 Mn 2.79, 4 Mo 2.92
Mn  0.3740  0.3740  0.3740  6 Mn 2.36-2.40
Mn  0.3740  0.3740  0.8781  6 Mn 2.36-2.40
Mo  0.7500  0.7500  0.7500  12 Mn 2.80, 4 Au 2.92
Mn  0.8781  0.3740  0.3740  6 Mn 2.36-2.40

Results
Uncorrected energy   -8.354 eV/atom
Calculated formation energy   64 kJ/mol of formula units
SG   F-43m, No. 216

Record 8
## MnMoAu (PBE)

Data for a relaxed structure of MnMoAu.

Cell lengths 4.9354, 4.9354, 4.9354 Å; angles 147.13, 134.01, 57.68 degrees
With the nearest neighbours (Å) after each atom.
Fractional positions:
Mn  0.6752  0.6752  0.0000  4 Mo 2.70, 2 Mn 2.79, 5 Au 2.81-2.83
Mo  0.3226  0.3226  0.0000  4 Mn 2.70, 5 Au 2.77-2.84, 2 Mo 2.79
Au  0.0022  0.0022  0.0000  5 Mo 2.77-2.84, 2 Au 2.79, 5 Mn 2.81-2.83

Results
Uncorrected energy   -7.517 eV/atom
Calculated formation energy   70 kJ/mol of formula units
Distance to the lowest polymorph of the same formula   0.047 eV per atom
SG   Imm2, No. 44

Record 9
## MnMoAu (PBE)

Data for a relaxed structure of MnMoAu.

Cell lengths 5.0702, 5.0702, 5.0702 Å; angles 143.15, 143.15, 53.10 degrees
With the nearest neighbours (Å) after each atom.
Fractional positions:
Au  0.9957  0.9957  0.0000  5 Mn 2.79-2.91, 5 Mo 2.80-2.86
Mo  0.6874  0.6874  0.0000  4 Mn 2.55, 5 Au 2.80-2.86
Mn  0.3169  0.3169  0.0000  4 Mo 2.55, 4 Au 2.79

Results
Uncorrected energy   -7.526 eV/atom
Calculated formation energy   68 kJ/mol of formula units
Distance to the lowest polymorph of the same formula   0.038 eV per atom
SG   I4mm, No. 107

Record 10
## MnMoAu3 (PBE)

Data for a relaxed structure of MnMoAu3.

Cell lengths 4.6663, 4.6663, 4.6663 Å; angles 90.00, 90.00, 90.00 degrees
With the nearest neighbours (Å) after each atom.
Fractional positions:
Au  0.0000  0.0000  0.5000  2 Mn 2.33
Au  0.0000  0.5000  0.0000  2 Mn 2.33
Au  0.5000  0.0000  0.0000  2 Mn 2.33
Mn  0.0000  0.0000  0.0000  6 Au 2.33
Mo  0.5000  0.5000  0.5000  12 Au 3.30

Results
Uncorrected energy   -4.332 eV/atom
Calculated formation energy   788 kJ/mol of formula units
Distance to the lowest polymorph of the same formula   0.000 eV per atom
SG   Pm-3m, No. 221

Record 11
## MnMoAu4 (PBE)

Data for a relaxed structure of MnMoAu4.

Cell lengths 5.4310, 5.4310, 5.4310 Å; angles 60.00, 60.00, 60.00 degrees
With the nearest neighbours (Å) after each atom.
Fractional positions:
Au  0.8749  0.3750  0.3750  6 Au 2.71-2.72
Au  0.3750  0.8749  0.3750  6 Au 2.71-2.72
Mn  0.7500  0.7500  0.7500  12 Au 3.18, 4 Mo 3.33
Au  0.3750  0.3750  0.3750  6 Au 2.71-2.72
Au  0.3750  0.3750  0.8749  6 Au 2.71-2.72
Mo  0.0000  0.0000  0.0000  12 Au 3.18, 4 Mn 3.33

Results
Uncorrected energy   -5.046 eV/atom
Calculated formation energy   273 kJ/mol of formula units
SG   F-43m, No. 216

Record 12
## MnMo4Au (PBE)

Data for a relaxed structure of MnMo4Au.

Cell lengths 5.2122, 5.2122, 5.2122 Å; angles 60.00, 60.00, 60.00 degrees
With the nearest neighbours (Å) after each atom.
Fractional positions:
Mo  0.3750  0.8750  0.3750  6 Mo 2.61
Au  0.7500  0.7500  0.7500  12 Mo 3.06, 4 Mn 3.19
Mo  0.8750  0.3750  0.3750  6 Mo 2.61
Mn  0.0000  0.0000  0.0000  12 Mo 3.06, 4 Au 3.19
Mo  0.3750  0.3750  0.8750  6 Mo 2.61
Mo  0.3750  0.3750  0.3750  6 Mo 2.61

Results
Uncorrected energy   -8.857 eV/atom
Calculated formation energy   254 kJ/mol of formula units
SG   F-43m, No. 216

Repeat the eleventh record exactly.
## MnMoAu4 (PBE)

Data for a relaxed structure of MnMoAu4.

Cell lengths 5.4310, 5.4310, 5.4310 Å; angles 60.00, 60.00, 60.00 degrees
With the nearest neighbours (Å) after each atom.
Fractional positions:
Au  0.8749  0.3750  0.3750  6 Au 2.71-2.72
Au  0.3750  0.8749  0.3750  6 Au 2.71-2.72
Mn  0.7500  0.7500  0.7500  12 Au 3.18, 4 Mo 3.33
Au  0.3750  0.3750  0.3750  6 Au 2.71-2.72
Au  0.3750  0.3750  0.8749  6 Au 2.71-2.72
Mo  0.0000  0.0000  0.0000  12 Au 3.18, 4 Mn 3.33

Results
Uncorrected energy   -5.046 eV/atom
Calculated formation energy   273 kJ/mol of formula units
SG   F-43m, No. 216